No. 1
Compound: InGa2ReSn
Source: Alexandria via LeMat-Bulk
Functional: PBE
Structure: relaxed

Cell lengths 5.236, 5.236, 5.193 Å; angles 90.00, 90.00, 90.00 degrees
Space group P4/mmm (No. 123)
Symmetry-distinct sites (fractional):
In  0.000  0.000  0.000
Ga  0.000  0.500  0.500
Re  0.500  0.500  0.000
Sn  0.500  0.500  0.500

The total energy comes out at -18.92 eV/cell. The calculation puts the energy of formation at 6.32 eV per formula unit.

***

No. 2
Compound: Er4AlGa2
Source: Alexandria via LeMat-Bulk
Functional: PBE
Structure: relaxed

Cell lengths 6.799, 8.047, 8.066 Å; angles 80.95, 65.28, 65.22 degrees
Space group P-1 (No. 2)
Symmetry-distinct sites (fractional):
Er  0.003  0.228  0.271
Er  0.031  0.783  0.159
Er  0.470  0.340  0.717
Er  0.497  0.229  0.272
Al  0.250  0.002  0.499
Ga  0.000  0.500  0.000
Ga  0.000  0.500  0.500
Ga  0.500  0.000  0.000
Ga  0.500  0.500  0.000

The total energy comes out at -59.19 eV/cell. The calculation puts the energy of formation at -1.55 eV per formula unit.

***

No. 3
Compound: NaLi2SnPd
Source: Alexandria via LeMat-Bulk
Functional: PBE
Structure: relaxed

Cell lengths 4.897, 4.897, 5.078 Å; angles 90.00, 90.00, 90.00 degrees
Space group P4/mmm (No. 123)
Symmetry-distinct sites (fractional):
Na  0.000  0.000  0.000
Li  0.000  0.500  0.500
Sn  0.500  0.500  0.000
Pd  0.500  0.500  0.500

The total energy comes out at -15.62 eV/cell. The calculation puts the energy of formation at -1.28 eV per formula unit.

***

No. 4
Compound: Ga3Sn5I12
Source: Alexandria via LeMat-Bulk
Functional: PBE
Structure: relaxed

Cell lengths 19.500, 19.500, 19.500 Å; angles 90.00, 90.00, 90.00 degrees
Space group Ia-3d (No. 230)
Symmetry-distinct sites (fractional):
Ga  0.000  0.250  0.125
Sn  0.000  0.000  0.000
Sn  0.000  0.250  0.375
I  0.024  0.068  0.649

For the formation energy (no corrections), the calculation gives -0.2781 eV per atom. The total energy comes out at -426.07 eV/cell.